DFT (GGA-PBEsol) results for an optimized crystal structure of Ta2RuW.

It has space group Fm-3m (No. 225), with a = 6.341 Å, b = 6.341 Å, c = 6.341 Å, α = 90.00°, β = 90.00° and γ = 90.00°. The distinct sites, in fractional coordinates, are Ta at (0.250, 0.250, 0.250), Ru at (0.000, 0.000, 0.000) and W at (0.000, 0.000, 0.500).

For the spin magnetization, the calculation gives 0.00 Bohr magnetons per cell. For the density of states at the Fermi level, the calculation gives 0.260 states/eV per atom. Its formation enthalpy at 0 K is -25.7 kJ/mol of atoms. For the final energy, the calculation gives -12.537 eV/atom.